i:
The following is a PBE calculation of GeSb2I8 after structural relaxation, from Alexandria via LeMat-Bulk.

a = 13.6620 Å, b = 10.3488 Å, c = 9.0901 Å
α = 90.00°, β = 96.00°, γ = 90.00°
Space group C2/m (No. 12)
Unique sites:
1 Ge 0.0000 0.0000 0.0000 [2 per cell]
2 Sb 0.1452 0.0000 0.3719 [4 per cell]
3 I 0.1000 0.0000 0.7228 [4 per cell]
4 I 0.1397 0.2009 0.1521 [8 per cell]
5 I 0.1509 0.5000 0.5532 [4 per cell]


ii:
The following is a PBE calculation of GeSb2I8 after structural relaxation, from Alexandria via LeMat-Bulk.

a = 21.5992 Å, b = 4.1216 Å, c = 11.1284 Å
α = 90.00°, β = 91.24°, γ = 90.00°
Space group C2/m (No. 12)
Unique sites:
1 Ge 0.0000 0.0000 0.0000 [2 per cell]
2 Sb 0.1500 0.5000 0.2595 [4 per cell]
3 I 0.0033 0.5000 0.8040 [4 per cell]
4 I 0.0994 0.0000 0.4370 [4 per cell]
5 I 0.1391 0.0000 0.0395 [4 per cell]
6 I 0.2410 0.5000 0.7062 [4 per cell]


Which one sits at the top of the stability order? i does.


i:
The following is a PBE calculation of Ge2SbI after structural relaxation, from Alexandria via LeMat-Bulk.

a = 7.6415 Å, b = 7.6415 Å, c = 9.1986 Å
α = 90.00°, β = 90.00°, γ = 90.00°
Space group I-42d (No. 122)
Unique sites:
1 Ge 0.2165 0.2500 0.1250 [8 per cell]
2 Sb 0.0000 0.0000 0.0000 [4 per cell]
3 I 0.0000 0.0000 0.5000 [4 per cell]


ii:
The following is a PBE calculation of Ge2SbI after structural relaxation, from Alexandria via LeMat-Bulk.

a = 4.4446 Å, b = 4.4446 Å, c = 24.7800 Å
α = 90.00°, β = 90.00°, γ = 120.00°
Space group R-3m (No. 166, hexagonal axes)
Unique sites:
1 Ge 0.0000 0.0000 0.1138 [6 per cell]
2 Sb 0.0000 0.0000 0.5000 [3 per cell]
3 I 0.0000 0.0000 0.0000 [3 per cell]


iii:
The following is a PBE calculation of Ge2SbI after structural relaxation, from Alexandria via LeMat-Bulk.

a = 7.4172 Å, b = 7.4172 Å, c = 7.4172 Å
α = 90.00°, β = 90.00°, γ = 90.00°
Space group Fm-3m (No. 225)
Unique sites:
1 Ge 0.2500 0.2500 0.2500 [8 per cell]
2 Sb 0.0000 0.0000 0.0000 [4 per cell]
3 I 0.0000 0.0000 0.5000 [4 per cell]


Which one sits at the top of the stability order? ii does.